i:
This record from Alexandria via LeMat-Bulk describes a geometry-optimized LaMg4Zn2 structure. The functional is PBE.

Calculated values
Density of states at the Fermi level (states/eV per atom): 0.627
Magnetic moment (μB per atom): 0.0000

Unit cell a=8.399 b=8.399 c=4.568 alpha=90.00 beta=90.00 gamma=149.94
Positions (direct):
1 La 0.000 0.000 0.000
2 Mg 0.179 0.821 0.500
3 Mg 0.322 0.678 0.000
4 Mg 0.678 0.322 0.000
5 Mg 0.821 0.179 0.500
6 Zn 0.424 0.576 0.500
7 Zn 0.576 0.424 0.500


ii:
This record from Alexandria via LeMat-Bulk describes a geometry-optimized LaMg4Zn2 structure. The functional is PBE.

Calculated values
Density of states at the Fermi level (states/eV per atom): 0.637
Magnetic moment (μB per atom): 0.0000

Unit cell a=8.372 b=8.372 c=4.549 alpha=90.00 beta=90.00 gamma=90.00
Positions (direct):
1 La 0.000 0.000 0.000
2 La 0.500 0.500 0.500
3 Mg 0.091 0.339 0.500
4 Mg 0.161 0.591 0.000
5 Mg 0.339 0.091 0.500
6 Mg 0.409 0.839 0.000
7 Mg 0.591 0.161 0.000
8 Mg 0.661 0.909 0.500
9 Mg 0.839 0.409 0.000
10 Mg 0.909 0.661 0.500
11 Zn 0.215 0.785 0.500
12 Zn 0.285 0.285 0.000
13 Zn 0.715 0.715 0.000
14 Zn 0.785 0.215 0.500


i ends up most stable, edging out the next structure by 0.017 eV/atom.